(1)
Material: NdDy2Ho5Tm
Method: DFT, PBE-GGA
State: optimized geometry

Cell lengths 8.966, 8.966, 14.470 Å; angles 90.00, 90.00, 90.00 degrees
Space group I4/mcm (No. 140)
Symmetry-distinct sites (fractional):
Nd: 0.000 0.000 0.250
Dy: 0.112 0.388 0.000
Ho: 0.000 0.000 0.000
Ho: 0.205 0.295 0.369
Tm: 0.000 0.500 0.250

Calculated values
* formation energy: 0.296 eV per atom
* crystal system: tetragonal

***

(2)
Material: NdDy5HoTm2
Method: DFT, PBE-GGA
State: optimized geometry

Cell lengths 5.586, 19.792, 10.500 Å; angles 90.00, 90.00, 90.00 degrees
Space group Cmc2_1 (No. 36)
Symmetry-distinct sites (fractional):
Nd: 0.000 0.084 0.000
Dy: 0.000 0.022 0.287
Dy: 0.000 0.113 0.572
Dy: 0.000 0.202 0.258
Dy: 0.000 0.219 0.862
Dy: 0.000 0.482 0.573
Ho: 0.000 0.301 0.562
Tm: 0.000 0.386 0.868
Tm: 0.000 0.389 0.285

Calculated values
* formation energy: 0.163 eV per atom
* crystal system: orthorhombic

***

(3)
Material: Nd2DyHo2Tm
Method: DFT, PBE-GGA
State: optimized geometry

Cell lengths 6.999, 5.640, 9.769 Å; angles 90.00, 90.00, 90.00 degrees
Space group Pmma (No. 51)
Symmetry-distinct sites (fractional):
Nd: 0.000 0.000 0.000
Nd: 0.250 0.500 0.179
Dy: 0.250 0.000 0.658
Ho: 0.250 0.000 0.332
Ho: 0.250 0.500 0.837
Tm: 0.000 0.500 0.500

Calculated values
* formation energy: 0.066 eV per atom
* crystal system: orthorhombic

***

(4)
Material: NdDy3HoTm
Method: DFT, PBE-GGA
State: optimized geometry

Cell lengths 5.018, 15.066, 10.064 Å; angles 90.00, 90.00, 90.00 degrees
Space group Cmcm (No. 63)
Symmetry-distinct sites (fractional):
Nd: 0.000 0.000 0.250
Dy: 0.000 0.167 0.000
Dy: 0.000 0.332 0.250
Ho: 0.000 0.500 0.000
Tm: 0.000 0.332 0.750

Calculated values
* formation energy: 0.021 eV per atom
* crystal system: orthorhombic

***

(5)
Material: Nd5DyHoTm2
Method: DFT, PBE-GGA
State: optimized geometry

Cell lengths 5.631, 20.360, 10.703 Å; angles 90.00, 90.00, 90.00 degrees
Space group Cmc2_1 (No. 36)
Symmetry-distinct sites (fractional):
Nd: 0.000 0.016 0.000
Nd: 0.000 0.280 0.296
Nd: 0.000 0.298 0.690
Nd: 0.000 0.385 0.004
Nd: 0.000 0.483 0.726
Dy: 0.000 0.198 0.994
Ho: 0.000 0.409 0.445
Tm: 0.000 0.112 0.723
Tm: 0.000 0.114 0.291

Calculated values
* formation energy: 0.146 eV per atom
* crystal system: orthorhombic

***

(6)
Material: Nd2Dy6HoTm
Method: DFT, PBE-GGA
State: optimized geometry

Cell lengths 9.012, 15.032, 9.673 Å; angles 90.00, 98.89, 90.00 degrees
Space group C2/c (No. 15)
Symmetry-distinct sites (fractional):
Nd: 0.246 0.052 0.042
Dy: 0.064 0.190 0.443
Dy: 0.103 0.395 0.619
Dy: 0.202 0.222 0.812
Ho: 0.000 0.018 0.750
Tm: 0.000 0.407 0.250

Calculated values
* formation energy: 0.116 eV per atom
* crystal system: monoclinic

***

(7)
Material: Nd2Dy2HoTm
Method: DFT, PBE-GGA
State: optimized geometry

Cell lengths 7.005, 5.642, 9.777 Å; angles 90.00, 90.00, 90.00 degrees
Space group Pmma (No. 51)
Symmetry-distinct sites (fractional):
Nd: 0.000 0.000 0.000
Nd: 0.250 0.500 0.178
Dy: 0.250 0.000 0.332
Dy: 0.250 0.500 0.836
Ho: 0.250 0.000 0.658
Tm: 0.000 0.500 0.500

Calculated values
* formation energy: 0.066 eV per atom
* crystal system: orthorhombic

***

(8)
Material: Nd2Dy5HoTm
Method: DFT, PBE-GGA
State: optimized geometry

Cell lengths 8.564, 8.564, 15.882 Å; angles 90.00, 90.00, 90.00 degrees
Space group I4/mcm (No. 140)
Symmetry-distinct sites (fractional):
Nd: 0.119 0.381 0.000
Dy: 0.000 0.000 0.000
Dy: 0.214 0.286 0.358
Ho: 0.000 0.000 0.250
Tm: 0.000 0.500 0.250

Calculated values
* formation energy: 0.278 eV per atom
* crystal system: tetragonal

***

| no. | total energy (eV per cell) |
| --- | --- |
| 1 | -154.68 |
| 2 | -159.33 |
| 3 | -54.73 |
| 4 | -109.99 |
| 5 | -162.58 |
| 6 | -180.15 |
| 7 | -54.79 |
| 8 | -156.39 |